Entry 1:
A relaxed structure of AlTe2. Source: Alexandria, functional PBE.

Calculated values
- Volume: 168.1 Å³/cell
- E_form (uncorrected): -0.24 eV/atom

Cell lengths 7.4260, 7.4260, 5.8215 Å; angles 90.00, 90.00, 148.42 degrees
Last column: nearest neighbours and their distance in Å.
Sites, in units of the cell vectors:
Al  0.1693  0.8307  0.7500  6 Te 2.79-2.94
Al  0.8307  0.1693  0.2500  6 Te 2.79-2.94
Te  0.1962  0.8038  0.2500  4 Al 2.79-2.94
Te  0.4707  0.5293  0.2500  2 Al 2.84, 2 Te 3.03
Te  0.5293  0.4707  0.7500  2 Al 2.84, 2 Te 3.03
Te  0.8038  0.1962  0.7500  4 Al 2.79-2.94



Entry 2:
A relaxed structure of Al2Te. Source: Alexandria, functional PBE.

Calculated values
- Volume: 292.0 Å³/cell
- E_form (uncorrected): 0.17 eV/atom

Cell lengths 15.3874, 15.3874, 15.3874 Å; angles 163.55, 163.55, 23.34 degrees
Last column: nearest neighbours and their distance in Å.
Sites, in units of the cell vectors:
Al  0.1247  0.3747  0.7500  8 Al 2.84-3.11, 4 Te 3.07-3.09
Al  0.3149  0.5649  0.7500  4 Al 2.84-2.86, 4 Te 3.13
Al  0.3747  0.1247  0.2500  8 Al 2.84-3.11, 4 Te 3.07-3.09
Al  0.4351  0.6851  0.7500  4 Al 2.84-2.86, 4 Te 3.13
Al  0.5649  0.3149  0.2500  4 Al 2.84-2.86, 4 Te 3.13
Al  0.6253  0.8753  0.7500  8 Al 2.84-3.11, 4 Te 3.07-3.09
Al  0.6851  0.4351  0.2500  4 Al 2.84-2.86, 4 Te 3.13
Al  0.8753  0.6253  0.2500  8 Al 2.84-3.11, 4 Te 3.07-3.09
Te  0.0535  0.8035  0.2500  8 Al 3.07-3.13
Te  0.1965  0.9465  0.2500  8 Al 3.07-3.13
Te  0.8035  0.0535  0.7500  8 Al 3.07-3.13
Te  0.9465  0.1965  0.7500  8 Al 3.07-3.13



Entry 3:
A relaxed structure of AlTe2. Source: Alexandria, functional PBE.

Calculated values
- Volume: 163.4 Å³/cell
- E_form (uncorrected): 0.09 eV/atom

Cell lengths 12.0677, 12.0677, 12.0677 Å; angles 162.24, 162.24, 25.22 degrees
Last column: nearest neighbours and their distance in Å.
Sites, in units of the cell vectors:
Al  0.3750  0.6250  0.7500  8 Te 3.08
Al  0.6250  0.3750  0.2500  8 Te 3.08
Te  0.0574  0.8074  0.2500  4 Al 3.08, 3 Te 3.18-3.28
Te  0.1926  0.9426  0.2500  4 Al 3.08, 3 Te 3.18-3.28
Te  0.8074  0.0574  0.7500  4 Al 3.08, 3 Te 3.18-3.28
Te  0.9426  0.1926  0.7500  4 Al 3.08, 3 Te 3.18-3.28



Entry 4:
A relaxed structure of Al2Te. Source: Alexandria, functional PBE.

Calculated values
- Volume: 85.8 Å³/cell
- E_form (uncorrected): 0.45 eV/atom

Cell lengths 4.9498, 4.9498, 4.9498 Å; angles 60.00, 60.00, 60.00 degrees
Last column: nearest neighbours and their distance in Å.
Sites, in units of the cell vectors:
Al  0.2500  0.2500  0.2500  4 Te 3.03
Al  0.7500  0.7500  0.7500  4 Te 3.03
Te  0.0000  0.0000  0.0000  8 Al 3.03



Entry 5:
A relaxed structure of AlTe7. Source: Alexandria, functional PBE.

Calculated values
- Volume: 221.9 Å³/cell
- E_form (uncorrected): 0.40 eV/atom

Cell lengths 6.7956, 6.7956, 6.7956 Å; angles 60.00, 60.00, 60.00 degrees
Last column: nearest neighbours and their distance in Å.
Sites, in units of the cell vectors:
Al  0.0000  0.0000  0.0000  12 Te 3.40
Te  0.0000  0.0000  0.5000  10 Te 3.40, 2 Al 3.40
Te  0.0000  0.5000  0.0000  10 Te 3.40, 2 Al 3.40
Te  0.0000  0.5000  0.5000  10 Te 3.40, 2 Al 3.40
Te  0.5000  0.0000  0.0000  10 Te 3.40, 2 Al 3.40
Te  0.5000  0.0000  0.5000  10 Te 3.40, 2 Al 3.40
Te  0.5000  0.5000  0.0000  10 Te 3.40, 2 Al 3.40
Te  0.5000  0.5000  0.5000  12 Te 3.40



Entry 6:
A relaxed structure of Al5Te3. Source: Alexandria, functional PBE.

Calculated values
- Volume: 184.3 Å³/cell
- E_form (uncorrected): 0.16 eV/atom

Cell lengths 5.9107, 5.9107, 5.4614 Å; angles 90.00, 90.00, 104.99 degrees
Last column: nearest neighbours and their distance in Å.
Sites, in units of the cell vectors:
Al  0.0000  0.0000  0.0000  4 Al 2.96
Al  0.0000  0.5000  0.0000  6 Te 2.96-3.30, 2 Al 2.96
Al  0.3035  0.3035  0.5000  1 Al 2.83, 6 Te 2.90-3.12
Al  0.5000  0.0000  0.0000  6 Te 2.96-3.30, 2 Al 2.96
Al  0.6965  0.6965  0.5000  1 Al 2.83, 6 Te 2.90-3.12
Te  0.2034  0.7966  0.5000  4 Al 2.90-3.12
Te  0.5000  0.5000  0.0000  8 Al 2.96-3.08
Te  0.7966  0.2034  0.5000  4 Al 2.90-3.12



Entry 7:
A relaxed structure of ThAl2Te6. Source: Alexandria, functional PBE.

Calculated values
- Volume: 578.4 Å³/cell
- E_form (uncorrected): -0.53 eV/atom

Cell lengths 8.8802, 8.8802, 7.6248 Å; angles 101.12, 101.12, 85.60 degrees
Last column: nearest neighbours and their distance in Å.
Sites, in units of the cell vectors:
Th  0.1541  0.8459  0.7500  8 Te 3.16-3.39
Th  0.8459  0.1541  0.2500  8 Te 3.16-3.39
Al  0.2718  0.3834  0.7856  4 Te 2.63-2.71
Al  0.3834  0.2718  0.2856  4 Te 2.63-2.71
Al  0.6166  0.7282  0.7144  4 Te 2.63-2.71
Al  0.7282  0.6166  0.2144  4 Te 2.63-2.71
Te  0.0753  0.1684  0.6315  1 Al 2.63
Te  0.1385  0.5848  0.0162  1 Al 2.64, 1 Te 2.93
Te  0.1684  0.0753  0.1315  1 Al 2.63
Te  0.2655  0.5141  0.5001  2 Al 2.65-2.71
Te  0.4152  0.8615  0.4838  1 Al 2.64, 1 Te 2.93
Te  0.4859  0.7345  0.9999  2 Al 2.65-2.71
Te  0.5141  0.2655  0.0001  2 Al 2.65-2.71
Te  0.5848  0.1385  0.5162  1 Al 2.64, 1 Te 2.93
Te  0.7345  0.4859  0.4999  2 Al 2.65-2.71
Te  0.8316  0.9247  0.8685  1 Al 2.63
Te  0.8615  0.4152  0.9838  1 Al 2.64, 1 Te 2.93
Te  0.9247  0.8316  0.3685  1 Al 2.63



Entry 8:
A relaxed structure of Th3AlTe6. Source: Alexandria, functional PBE.

Calculated values
- Volume: 736.6 Å³/cell
- E_form (uncorrected): -0.85 eV/atom

Cell lengths 9.0320, 9.0320, 9.0320 Å; angles 89.25, 89.25, 89.25 degrees
Last column: nearest neighbours and their distance in Å.
Sites, in units of the cell vectors:
Th  0.0735  0.5711  0.2333  6 Te 3.12-3.24
Th  0.2333  0.0735  0.5711  6 Te 3.12-3.24
Th  0.4289  0.7667  0.9265  6 Te 3.12-3.24
Th  0.5711  0.2333  0.0735  6 Te 3.12-3.24
Th  0.7667  0.9265  0.4289  6 Te 3.12-3.24
Th  0.9265  0.4289  0.7667  6 Te 3.12-3.24
Al  0.0000  0.0000  0.0000  6 Te 2.97
Al  0.5000  0.5000  0.5000  6 Te 2.92
Te  0.0879  0.6988  0.9007  1 Al 2.97, 3 Th 3.12-3.21
Te  0.0993  0.9121  0.3012  1 Al 2.97, 3 Th 3.12-3.21
Te  0.1908  0.4161  0.5360  1 Al 2.92, 3 Th 3.13-3.24
Te  0.3012  0.0993  0.9121  1 Al 2.97, 3 Th 3.12-3.21
Te  0.4161  0.5360  0.1908  1 Al 2.92, 3 Th 3.13-3.24
Te  0.4640  0.8092  0.5839  1 Al 2.92, 3 Th 3.13-3.24
Te  0.5360  0.1908  0.4161  1 Al 2.92, 3 Th 3.13-3.24
Te  0.5839  0.4640  0.8092  1 Al 2.92, 3 Th 3.13-3.24
Te  0.6988  0.9007  0.0879  1 Al 2.97, 3 Th 3.12-3.21
Te  0.8092  0.5839  0.4640  1 Al 2.92, 3 Th 3.13-3.24
Te  0.9007  0.0879  0.6988  1 Al 2.97, 3 Th 3.12-3.21
Te  0.9121  0.3012  0.0993  1 Al 2.97, 3 Th 3.12-3.21



Entry 9:
A relaxed structure of ThAlTe. Source: Alexandria, functional PBE.

Calculated values
- Volume: 201.5 Å³/cell
- E_form (uncorrected): -0.40 eV/atom

Cell lengths 10.0139, 10.0139, 4.3224 Å; angles 90.00, 90.00, 152.29 degrees
Last column: nearest neighbours and their distance in Å.
Sites, in units of the cell vectors:
Th  0.0755  0.9245  0.7500  2 Te 3.04, 6 Al 3.26-3.31
Th  0.9245  0.0755  0.2500  2 Te 3.04, 6 Al 3.26-3.31
Al  0.4622  0.5378  0.7500  2 Al 2.61
Al  0.5378  0.4622  0.2500  2 Al 2.61
Te  0.1854  0.8146  0.2500  2 Th 3.04
Te  0.8146  0.1854  0.7500  2 Th 3.04